The following is a PBE calculation of a relaxed AcNdEr crystal, from Alexandria.

```
6
Lattice="3.681 0.000 -0.051 0.000 5.631 -0.010 -1.706 0.019 10.732" Properties=species:S:1:pos:R:3 pbc="T T T"
Ac -0.797 1.425 9.725
Ac 2.772 4.225 0.946
Nd 0.954 1.413 3.043
Nd 1.021 4.237 7.628
Er -0.833 1.419 6.195
Er 2.808 4.231 4.476
```

Values from the calculation:
distance to the lowest polymorph of the same formula: 0 meV/atom

***

The following is a PBE calculation of a relaxed AcNd4Er8 crystal, from Alexandria.

```
13
Lattice="7.659 -1.163 1.342 0.918 7.693 1.342 -1.528 -1.163 7.624" Properties=species:S:1:pos:R:3 pbc="T T T"
Ac 3.524 2.683 5.154
Nd 3.066 -1.163 4.483
Nd -0.305 3.265 4.483
Nd 4.288 3.265 1.342
Nd 0.000 0.000 0.000
Er 2.149 5.313 3.143
Er 6.185 4.709 3.862
Er 4.899 0.053 7.165
Er 1.355 4.709 7.165
Er 5.379 4.095 7.867
Er 1.670 1.271 2.442
Er 5.694 0.657 3.143
Er 0.863 0.657 6.446
```

***

The following is a PBE calculation of a relaxed Ac5Nd6Er2 crystal, from Alexandria.

```
26
Lattice="3.813 0.000 0.000 0.000 12.030 0.000 0.000 0.000 21.984" Properties=species:S:1:pos:R:3 pbc="T T T"
Ac 1.907 5.223 9.316
Ac 1.907 6.806 12.668
Ac 1.907 11.238 1.676
Ac 1.907 0.792 20.308
Ac 1.907 7.770 6.087
Ac 1.907 4.260 15.898
Ac 1.907 1.755 4.905
Ac 1.907 10.275 17.079
Ac 1.907 6.015 0.000
Ac 1.907 0.000 10.992
Nd 0.000 1.972 8.377
Nd 0.000 10.057 13.607
Nd 0.000 7.987 2.615
Nd 0.000 4.043 19.369
Nd 1.907 5.026 3.376
Nd 1.907 7.004 18.608
Nd 1.907 11.040 7.616
Nd 1.907 0.989 14.368
Nd 0.000 8.725 9.741
Nd 0.000 3.304 12.243
Nd 0.000 2.711 1.251
Nd 0.000 9.319 20.733
Er 0.000 4.620 6.236
Er 0.000 7.410 15.748
Er 0.000 10.635 4.756
Er 0.000 1.395 17.228
```

***

The following is a PBE calculation of a relaxed AcNd4Er2 crystal, from Alexandria.

```
7
Lattice="5.805 0.000 0.000 2.903 5.028 0.000 2.903 1.676 8.450" Properties=species:S:1:pos:R:3 pbc="T T T"
Ac 0.000 0.000 0.000
Nd 5.805 3.352 6.175
Nd 2.903 1.676 1.645
Nd 8.708 5.028 6.804
Nd 5.805 3.352 2.275
Er 2.903 1.676 4.930
Er 8.708 5.028 3.520
```

Values from the calculation:
distance to the lowest polymorph of the same formula: 0 meV/atom

***

Values for ΔE_f, eV/atom, ordered as above
0.053 0.536 0.075 0.124
Values for D(E_F), states/eV/f.u., ordered as above
4.769 21.609 19.102 13.817